4
Lattice="0.0000 2.6085 2.6085 2.6085 0.0000 2.6085 2.6085 2.6085 0.0000" Properties=species:S:1:pos:R:3 comment="FeHF2 (PBE with a Hubbard U, optimized geometry)" de_polymorph_mev_per_atom=398 sg=Fm-3m energy_ev_per_atom=-3.994 magmom_total_mub_per_atom=1.0864 pbc="T T T"
Fe 0.0000 0.0000 0.0000
H 2.6085 2.6085 2.6085
F 1.3043 1.3043 1.3043
F 3.9128 3.9128 3.9128

---

10
Lattice="5.4421 0.0000 0.0000 -0.1982 6.0457 0.0000 -2.6259 -3.0163 4.5419" Properties=species:S:1:pos:R:3 comment="K2FeHF6 (PBE with a Hubbard U, optimized geometry)" sg=P1 energy_ev_per_atom=-4.570 magmom_total_mub_per_atom=0.3030 pbc="T T T"
K 0.0000 0.0000 0.0000
K -0.0044 0.0048 4.1511
Fe -0.2722 2.9924 2.0760
H 2.8002 1.3172 2.0743
F -1.2513 1.3005 2.0728
F -0.0537 2.8233 0.2256
F 0.7787 4.4937 2.0797
F -0.0571 2.8189 3.9265
F 1.7893 1.4174 2.0737
F 3.5336 3.9504 2.0764

---

11
Lattice="4.5862 -2.9117 0.0000 4.5862 2.9117 0.0000 -3.6445 0.0000 5.3877" Properties=species:S:1:pos:R:3 comment="K2FeH2F6 (PBE with a Hubbard U, optimized geometry)" sg=C2/m energy_ev_per_atom=-4.570 magmom_total_mub_per_atom=0.3636 pbc="T T T"
K 1.4554 0.0000 1.0845
K 4.0724 0.0000 4.3031
Fe -1.8222 0.0000 2.6938
H 0.7658 0.0000 4.0824
H 4.7621 0.0000 1.3052
F 1.8474 1.4573 3.7803
F 3.6804 1.4573 1.6074
F -0.1974 0.0000 4.2864
F 5.7253 0.0000 1.1013
F 1.8474 -1.4573 3.7803
F 3.6804 -1.4573 1.6074

---

12
Lattice="5.0278 0.0000 0.0000 2.1951 4.5447 0.0000 1.4046 0.6217 7.3930" Properties=species:S:1:pos:R:3 comment="KFeH2F8 (PBE with a Hubbard U, optimized geometry)" sg=P-1 energy_ev_per_atom=-4.205 magmom_total_mub_per_atom=0.2589 pbc="T T T"
K 0.0000 0.0000 0.0000
Fe 0.7023 0.3109 3.6965
H 2.4051 1.4458 1.7209
H 6.2224 3.7206 5.6721
F 2.1854 1.2464 3.2757
F 3.3063 3.6788 2.4171
F 3.7992 3.9195 4.9216
F 2.4203 1.4692 0.7503
F 6.2072 3.6972 6.6427
F 4.8283 1.2469 2.4714
F 5.3212 1.4877 4.9760
F 6.4421 3.9200 4.1173

---

22
Lattice="5.9480 0.0000 0.0000 0.0000 6.0678 0.0000 -0.6659 0.0000 8.6003" Properties=species:S:1:pos:R:3 comment="K4Na2FeH3F12 (PBE with a Hubbard U, optimized geometry)" sg=P2 energy_ev_per_atom=-4.534 magmom_total_mub_per_atom=0.2270 pbc="T T T"
K 0.0020 0.0000 1.9758
K 2.0099 3.1558 6.3163
K 3.2722 3.1558 2.2840
K 5.2801 0.0000 6.6245
Na 0.0000 3.0381 0.0000
Na 2.6410 0.2018 4.3001
Fe 2.9740 0.0277 0.0000
H -0.3329 4.8233 4.3001
H 0.6092 2.5117 3.1450
H 4.6729 2.5117 5.4553
F 0.0626 3.0055 2.2465
F 0.8042 4.9134 4.4604
F 1.2242 1.9436 3.9124
F 0.9166 4.7075 8.4598
F 0.9204 1.3978 8.4416
F 2.7732 0.0076 1.9585
F 2.5089 0.0076 6.6418
F 4.3617 1.3978 0.1587
F 4.3655 4.7075 0.1405
F 4.0579 1.9436 4.6879
F 4.4779 4.9134 4.1398
F 5.2195 3.0055 6.3537

---

5
Lattice="5.0260 0.0000 0.0000 0.0000 5.0260 0.0000 0.0000 0.0000 2.8901" Properties=species:S:1:pos:R:3 comment="Mn2FeHF (PBE with a Hubbard U, optimized geometry)" sg=P4/mmm energy_ev_per_atom=-4.793 magmom_total_mub_per_atom=1.2512 pbc="T T T"
Mn 0.0000 2.5130 0.0000
Mn 2.5130 0.0000 0.0000
Fe 0.0000 0.0000 1.4451
H 2.5130 2.5130 1.4451
F 2.5130 2.5130 0.0000

---

Number 1: density 4.44 g/cm3. Number 2: density 2.77 g/cm3. Number 3: density 2.89 g/cm3. Number 4: density 2.45 g/cm3. Number 5: density 2.62 g/cm3. Number 6: density 4.22 g/cm3.